[1]
The following is a DFT calculation (PBE) of a relaxed Tb2TeBr crystal.

It has space group R-3m (No. 166, hexagonal axes), with a = 4.0895 Å, b = 4.0895 Å, c = 28.0644 Å, α = 90.00°, β = 90.00° and γ = 120.00°. The asymmetric unit holds Tb at (0.0000, 0.0000, 0.0984), Te at (0.0000, 0.0000, 0.5000) and Br at (0.0000, 0.0000, 0.0000).

---

[2]
The following is a DFT calculation (PBE) of a relaxed Tb2Te2Br crystal.

It has space group C2/m (No. 12), with a = 13.6014 Å, b = 6.1114 Å, c = 8.5485 Å, α = 90.00°, β = 111.60° and γ = 90.00°. The asymmetric unit holds Tb at (0.0013, 0.0000, 0.2406), Tb at (0.1611, 0.5000, 0.0797), Te at (0.0101, 0.5000, 0.2729), Te at (0.1812, 0.0000, 0.1087) and Br at (0.1538, 0.0000, 0.5956).

---

Total moment values (in μB per formula unit) by entry order: 0.001; 0.000.
Formation energy (no corrections) values (in meV per atom) by entry order: -1003; -1484.
Calculated volume values (in A^3/atom) by entry order: 33.872; 33.034.